The following is a PBE calculation of a relaxed structure of HoSi2NiIr, from the Open Quantum Materials Database.

Geometry as extended XYZ:
```
5
Lattice="-1.987 1.987 4.955 1.987 -1.987 4.955 1.987 1.987 -4.955" Properties=species:S:1:pos:R:3 pbc="T T T"
Ho 0.000 0.000 0.000
Si 0.000 0.000 3.767
Si 0.000 0.000 6.143
Ni 1.987 0.000 2.477
Ir 0.000 1.987 2.477
```

Results
- Energy: -0.254 hartree per atom